[1]
A relaxed CsUAs crystal, computed with PBE.

The space group is F-43m. Its total energy is -14.66 eV/cell.

```
CsUAs
1.0
0.000 3.768 3.768
3.768 0.000 3.768
3.768 3.768 0.000
As Cs U
1 1 1
Direct
0.000 0.000 0.000
0.250 0.250 0.250
0.750 0.750 0.750
```

***

[2]
A relaxed ScTaCoCu crystal, computed with PBE.

The space group is F-43m. Its total energy is -29.31 eV/cell. Its energy relative to the lowest polymorph listed for this composition is 0.000 eV per atom. The energy relative to the elements is -77 meV per atom.

```
ScTaCoCu
1.0
0.000 3.119 3.119
3.119 0.000 3.119
3.119 3.119 0.000
Co Ta Sc Cu
1 1 1 1
Direct
0.250 0.250 0.250
0.500 0.500 0.500
0.000 0.000 0.000
0.750 0.750 0.750
```

***

[3]
A relaxed TaCoCuAs crystal, computed with PBE.

The space group is F-43m. Its total energy is -26.82 eV/cell. Its energy relative to the lowest polymorph listed for this composition is 0.022 eV per atom.

```
TaCoCuAs
1.0
0.762 -4.213 0.137
-0.022 -2.060 3.756
-3.174 -2.722 0.932
Ta As Cu Co
1 1 1 1
Direct
0.250 0.250 0.250
0.000 0.000 0.000
0.500 0.500 0.500
0.750 0.750 0.750
```

***

[4]
A relaxed LuInFeTc crystal, computed with PBE.

The space group is F-43m. Its total energy is -24.97 eV/cell. Its energy relative to the lowest polymorph listed for this composition is 0.082 eV per atom.

```
LuInFeTc
1.0
1.848 -0.760 4.229
-2.795 -0.552 3.709
-0.413 -4.202 2.012
Lu In Fe Tc
1 1 1 1
Direct
0.250 0.250 0.250
0.000 0.000 0.000
0.750 0.750 0.750
0.500 0.500 0.500
```

***

[5]
A relaxed TbAl2Co crystal, computed with PBE.

The space group is Cmmm. Its total energy is -42.21 eV/cell.

```
TbAl2Co
1.0
8.331 1.208 -4.041
-9.097 -2.104 0.030
-0.859 3.703 -0.663
Co Al Tb
2 4 2
Direct
0.925 0.075 0.000
0.075 0.925 0.000
0.792 0.208 0.000
0.208 0.792 0.000
0.500 0.500 0.000
0.000 0.000 0.500
0.640 0.360 0.500
0.360 0.640 0.500
```

***

[6]
A relaxed BaHfTa crystal, computed with PBE.

The space group is F-43m. Its total energy is -17.21 eV/cell. Its energy relative to the lowest polymorph listed for this composition is 0.696 eV per atom.

```
BaHfTa
1.0
0.000 3.442 3.442
3.442 0.000 3.442
3.442 3.442 0.000
Hf Ba Ta
1 1 1
Direct
0.250 0.250 0.250
0.000 0.000 0.000
0.750 0.750 0.750
```

***

[7]
A relaxed TmHg2SO6 crystal, computed with PBE.

The space group is P-1. Its total energy is -109.00 eV/cell.

```
TmHg2SO6
1.0
-5.730 2.359 2.930
-0.700 -1.611 7.146
0.760 6.610 3.159
Tm O S Hg
2 12 2 4
Direct
0.335 0.212 0.140
0.665 0.788 0.860
0.325 0.580 0.683
0.776 0.464 0.954
0.186 0.297 0.442
0.322 0.818 0.869
0.224 0.536 0.046
0.532 0.121 0.822
0.675 0.420 0.317
0.468 0.879 0.178
0.036 0.198 0.095
0.814 0.703 0.558
0.964 0.802 0.905
0.678 0.182 0.131
0.211 0.682 0.872
0.789 0.318 0.128
0.648 0.780 0.367
0.885 0.180 0.592
0.115 0.820 0.408
0.352 0.220 0.633
```

***

[8]
A relaxed LaCoCuAs crystal, computed with PBE.

The space group is F-43m. Its total energy is -20.26 eV/cell. Its energy relative to the lowest polymorph listed for this composition is 0.162 eV per atom.

```
LaCoCuAs
1.0
3.282 -0.239 3.443
-0.294 2.889 3.775
-1.152 -1.770 4.269
Co As Cu La
1 1 1 1
Direct
0.000 0.000 0.000
0.500 0.500 0.500
0.750 0.750 0.750
0.250 0.250 0.250
```

***

[9]
A relaxed Tb2YN3 crystal, computed with PBE.

The space group is P-3m1. Its total energy is -50.73 eV/cell.

```
Tb2YN3
1.0
-1.919 -2.427 1.581
-0.255 0.452 -3.436
6.211 -5.699 -1.210
Tb Y N
2 1 3
Direct
0.333 0.667 0.833
0.667 0.333 0.167
0.000 0.000 0.500
0.667 0.333 0.667
0.333 0.667 0.333
0.000 0.000 0.000
```

***

[10]
A relaxed ZrCoNiPb crystal, computed with PBE.

The space group is F-43m. Its total energy is -25.39 eV/cell. Its energy relative to the lowest polymorph listed for this composition is 0.000 eV per atom.

```
ZrCoNiPb
1.0
0.000 3.204 3.204
3.204 0.000 3.204
3.204 3.204 0.000
Zr Co Pb Ni
1 1 1 1
Direct
0.500 0.500 0.500
0.750 0.750 0.750
0.000 0.000 0.000
0.250 0.250 0.250
```

***

[11]
A relaxed LiErSeS crystal, computed with PBE.

The space group is R3m. Its total energy is -21.18 eV/cell.

```
LiErSeS
1.0
1.973 1.139 6.267
-1.973 1.139 6.267
0.000 -2.278 6.267
Er Li S Se
1 1 1 1
Direct
0.004 0.004 0.004
0.499 0.499 0.499
0.749 0.749 0.749
0.247 0.247 0.247
```

***

[12]
A relaxed Li2HfGe crystal, computed with PBE.

The space group is F-43m. Its total energy is -18.99 eV/cell.

```
Li2HfGe
1.0
-3.924 0.048 2.247
-3.402 2.604 -1.446
-3.677 -1.893 -1.830
Ge Li Hf
1 2 1
Direct
0.500 0.500 0.500
0.000 0.000 0.000
0.750 0.750 0.750
0.250 0.250 0.250
```